Computed, not measured: crystalline TmScIn at its relaxed geometry at the PBE level of DFT.

Output
The symmetry is P3m1 (156). For the formation energy, the calculation gives -0.0734 eV per atom. As for the crystal system: trigonal.

The structure in POSCAR format:
```
TmScIn
1.0
3.1643 0.0000 0.0000
0.0000 5.1760 0.0000
0.0000 -2.5880 4.4826
Tm In Sc
1 1 1
direct
0.1228 0.0000 0.0000
0.6594 0.3333 0.6667
0.2178 0.6667 0.3333
```

***

Computed, not measured: crystalline Tm2Sc2In at its relaxed geometry at the PBE level of DFT.

Output
The symmetry is P4/mbm (127). For the formation energy, the calculation gives 0.0964 eV per atom. As for the crystal system: tetragonal.

The structure in POSCAR format:
```
Tm2Sc2In
1.0
3.8906 0.0000 0.0000
0.0000 8.2914 0.0000
0.0000 0.0000 8.2914
Sc Tm In
4 4 2
direct
0.5000 0.6540 0.8460
0.5000 0.1540 0.6540
0.5000 0.3460 0.1540
0.5000 0.8460 0.3460
0.0000 0.8550 0.6450
0.0000 0.6450 0.1450
0.0000 0.1450 0.3550
0.0000 0.3550 0.8550
0.0000 0.0000 0.0000
0.0000 0.5000 0.5000
```

***

Computed, not measured: crystalline Tm3Sc3In2 at its relaxed geometry at the PBE level of DFT.

Output
The symmetry is Pmmm (47). For the formation energy, the calculation gives -0.2560 eV per atom. As for the crystal system: orthorhombic.

The structure in POSCAR format:
```
Tm3Sc3In2
1.0
-3.3891 2.3936 2.0862
1.6441 -1.3006 4.1632
5.4497 7.5392 0.2032
Tm Sc In
3 3 2
direct
0.5000 0.5000 0.7456
0.5000 0.5000 0.2544
0.5000 0.0000 0.0000
0.5000 0.0000 0.5000
0.0000 0.5000 0.5000
0.0000 0.5000 0.0000
0.0000 0.0000 0.7452
0.0000 0.0000 0.2548
```

***

Computed, not measured: crystalline Tm12ScIn3 at its relaxed geometry at the PBE level of DFT.

Output
The symmetry is P4/mmm (123). For the formation energy, the calculation gives -0.1868 eV per atom. As for the crystal system: tetragonal.

The structure in POSCAR format:
```
Tm12ScIn3
1.0
-2.9084 2.8821 2.4751
-3.6098 -3.0680 -0.6692
4.7878 -9.1966 16.3351
Tm In Sc
12 3 1
direct
0.5000 0.0000 0.6236
0.0000 0.5000 0.1266
0.5000 0.5000 0.2525
0.5000 0.0000 0.3764
0.0000 0.5000 0.8734
0.5000 0.5000 0.7475
0.0000 0.5000 0.3764
0.5000 0.5000 0.5000
0.0000 0.5000 0.6236
0.5000 0.5000 0.0000
0.5000 0.0000 0.8734
0.5000 0.0000 0.1266
0.0000 0.0000 0.7465
0.0000 0.0000 0.2535
0.0000 0.0000 0.5000
0.0000 0.0000 0.0000
```

***

Computed, not measured: crystalline Tm8ScIn2 at its relaxed geometry at the PBE level of DFT.

Output
The symmetry is C2/m (12). For the formation energy, the calculation gives -0.0283 eV per atom. As for the crystal system: monoclinic.

The structure in POSCAR format:
```
Tm8ScIn2
1.0
5.4301 -0.3320 -0.4983
-1.3936 8.5013 -0.7078
-1.3936 -3.9274 7.5729
Tm In Sc
8 2 1
direct
0.5000 0.2105 0.7895
0.7006 0.3934 0.3934
0.1217 0.0955 0.3226
0.8783 0.6774 0.9045
0.2994 0.6066 0.6066
0.1217 0.3226 0.0955
0.5000 0.7895 0.2105
0.8783 0.9045 0.6774
0.0000 0.6939 0.3061
0.0000 0.3061 0.6939
0.5000 0.0000 0.0000
```

***

Computed, not measured: crystalline YTmScIn at its relaxed geometry at the PBE level of DFT.

Output
The symmetry is F-43m (216). For the formation energy, the calculation gives -0.1569 eV per atom. As for the crystal system: cubic.

The structure in POSCAR format:
```
YTmScIn
1.0
5.3225 0.0000 0.0000
2.6612 4.6094 0.0000
2.6612 1.5365 4.3458
Sc Tm In Y
1 1 1 1
direct
0.7500 0.7500 0.7500
0.5000 0.5000 0.5000
0.2500 0.2500 0.2500
0.0000 0.0000 0.0000
```

***

Number 1: DFT total energy -4.5872 eV/atom. Number 2: DFT total energy -4.7725 eV/atom. Number 3: DFT total energy -4.9917 eV/atom. Number 4: DFT total energy -4.4496 eV/atom. Number 5: DFT total energy -4.3537 eV/atom. Number 6: DFT total energy -5.1582 eV/atom.